(1)
This record from Alexandria via LeMat-Bulk describes a relaxed LiPuTcRh crystal. The functional is PBE-GGA.

**Energy relative to the elements**: -0.1381 eV/atom
**Density of states at the Fermi level**: 4.57 states/eV/f.u.
**Space group**: F-43m (216)

Unit cell a=4.4810 b=4.4810 c=4.4810 alpha=60.00 beta=60.00 gamma=60.00
Last column: magnetic moment on the atom in μB.
Element x y z (fractional)
Tc 0.5000 0.5000 0.5000  -1.03
Pu 0.2500 0.2500 0.2500  4.52
Rh 0.0000 0.0000 0.0000  -0.30
Li 0.7500 0.7500 0.7500  0.00


(2)
This record from Alexandria via LeMat-Bulk describes a relaxed LiTmPuRh crystal. The functional is PBE-GGA.

**Energy relative to the elements**: -0.2966 eV/atom
**Density of states at the Fermi level**: 7.28 states/eV/f.u.
**Space group**: F-43m (216)

Unit cell a=4.8961 b=4.8961 c=4.8961 alpha=60.00 beta=60.00 gamma=60.00
Last column: magnetic moment on the atom in μB.
Element x y z (fractional)
Rh 0.0000 0.0000 0.0000  -0.15
Li 0.5000 0.5000 0.5000  0.05
Tm 0.2500 0.2500 0.2500  0.19
Pu 0.7500 0.7500 0.7500  5.32


(3)
This record from Alexandria via LeMat-Bulk describes a relaxed LiPuURh crystal. The functional is PBE-GGA.

**Energy relative to the elements**: -0.1559 eV/atom
**Density of states at the Fermi level**: 7.41 states/eV/f.u.
**Space group**: F-43m (216)

Unit cell a=4.6367 b=4.6367 c=4.6367 alpha=60.00 beta=60.00 gamma=60.00
Last column: magnetic moment on the atom in μB.
Element x y z (fractional)
U 0.0000 0.0000 0.0000  1.36
Rh 0.7500 0.7500 0.7500  -0.08
Pu 0.2500 0.2500 0.2500  4.89
Li 0.5000 0.5000 0.5000  -0.02


(4)
This record from Alexandria via LeMat-Bulk describes a relaxed LiPu2ZnRh2 crystal. The functional is PBE-GGA.

**Energy relative to the elements**: 0.0572 eV/atom
**Density of states at the Fermi level**: 8.02 states/eV/f.u.
**Space group**: Ibam (72)

Unit cell a=4.5741 b=4.5398 c=9.5555 alpha=103.74 beta=103.85 gamma=90.00
Element x y z (fractional)
Li 0.7500 0.0000 0.0000
Li 0.2500 0.0000 0.0000
Pu 0.2161 0.4653 0.4322
Pu 0.7839 0.5347 0.5678
Pu 0.2839 0.0331 0.5678
Pu 0.7161 0.9669 0.4322
Zn 0.7500 0.5000 0.0000
Zn 0.2500 0.5000 0.0000
Rh 0.8819 0.1378 0.7638
Rh 0.1181 0.8622 0.2362
Rh 0.6181 0.3740 0.2362
Rh 0.3819 0.6260 0.7638